[1]
A relaxed structure of GeAs2Au. Source: the Alexandria database, functional PBE.

a b c (Å): 3.7493 4.1165 6.0782
angles (deg): 110.48 107.96 90.00
Atoms (fractional coordinates):
Ge  0.5000  0.5000  0.0000
Au  0.0000  0.0000  0.0000
As  0.7596  0.7100  0.5192
As  0.2404  0.2900  0.4808

Calculated values
Magnetic moment, μB/cell: 0.000
DOS(E_F), states/eV per cell: 1.5
Electronic total energy, eV per cell: -17.098
Energy relative to the elements, eV per formula unit: 0.10

[2]
A relaxed structure of AgSb2Se. Source: the Alexandria database, functional PBE.

a b c (Å): 7.9894 7.9894 7.9894
angles (deg): 152.44 153.80 38.39
Atoms (fractional coordinates):
Sb  0.9593  0.9593  0.0000
Sb  0.7901  0.2901  0.5000
Ag  0.2023  0.7023  0.5000
Se  0.5482  0.5482  0.0000

Calculated values
Magnetic moment, μB/cell: 0.000
DOS(E_F), states/eV per cell: 1.6
Electronic total energy, eV per cell: -14.092

[3]
A relaxed structure of Np2Al2CoSi4. Source: the Alexandria database, functional PBE.

a b c (Å): 5.8987 5.8987 5.8987
angles (deg): 91.21 119.30 119.30
Site moments in Bohr magnetons follow the coordinates.
Atoms (fractional coordinates):
Al  0.0000  0.2835  0.2835  0.01
Al  0.0000  0.7165  0.7165  0.01
Co  0.0000  0.0000  0.0000  0.08
Si  0.4544  0.7272  0.7272  -0.03
Si  0.0000  0.7272  0.2728  -0.03
Si  0.0000  0.2728  0.7272  -0.03
Si  0.5456  0.2728  0.2728  -0.03
Np  0.5000  0.2500  0.7500  3.47
Np  0.5000  0.7500  0.2500  3.47

Calculated values
Magnetic moment, μB/cell: 7.343
DOS(E_F), states/eV per cell: 14.2
Electronic total energy, eV per cell: -64.885

[4]
A relaxed structure of Rb2CrCd. Source: the Alexandria database, functional PBE.

a b c (Å): 10.0775 10.0775 7.9159
angles (deg): 50.47 50.47 90.00
Site moments in Bohr magnetons follow the coordinates.
Atoms (fractional coordinates):
Cd  0.7500  0.2500  0.5000  -0.01
Cd  0.0000  0.0000  0.0000  -0.01
Cr  0.2500  0.7500  0.5000  4.22
Cr  0.5000  0.5000  0.0000  4.22
Rb  0.6235  0.1250  0.2500  0.01
Rb  0.8750  0.8735  0.7500  0.01
Rb  0.3750  0.3765  0.7500  0.01
Rb  0.1265  0.6250  0.2500  0.01

Calculated values
Magnetic moment, μB/cell: 10.059
DOS(E_F), states/eV per cell: 5.0
Electronic total energy, eV per cell: -19.026
Energy relative to the elements, eV per formula unit: 2.96

[5]
A relaxed structure of KNbAgSe4. Source: the Alexandria database, functional PBE.

a b c (Å): 6.1612 9.0569 9.8557
angles (deg): 90.00 115.49 90.00
Atoms (fractional coordinates):
Nb  0.6797  0.2500  0.7047
Nb  0.3203  0.7500  0.2953
Se  0.6930  0.7500  0.5284
Se  0.6112  0.2500  0.9292
Se  0.0954  0.5288  0.2949
Se  0.9046  0.4712  0.7051
Se  0.0954  0.9712  0.2949
Se  0.3070  0.2500  0.4716
Se  0.3888  0.7500  0.0708
Se  0.9046  0.0288  0.7051
Ag  0.8230  0.7500  0.3047
Ag  0.1770  0.2500  0.6953
K  0.7540  0.7500  0.8975
K  0.2460  0.2500  0.1025

Calculated values
Magnetic moment, μB/cell: 0.000
DOS(E_F), states/eV per cell: 1.3
Electronic total energy, eV per cell: -64.740

[6]
A relaxed structure of MgScBeGa. Source: the Alexandria database, functional PBE.

a b c (Å): 4.5578 4.5578 4.5578
angles (deg): 60.00 60.00 60.00
Atoms (fractional coordinates):
Be  0.5000  0.5000  0.5000
Sc  0.2500  0.2500  0.2500
Mg  0.7500  0.7500  0.7500
Ga  0.0000  0.0000  0.0000

Calculated values
Magnetic moment, μB/cell: 0.000
DOS(E_F), states/eV per cell: 1.3
Electronic total energy, eV per cell: -15.281
Energy relative to the elements, eV per formula unit: -0.60

[7]
A relaxed structure of PrSmGdGa. Source: the Alexandria database, functional PBE.

a b c (Å): 5.4355 5.4355 5.4355
angles (deg): 60.00 60.00 60.00
Site moments in Bohr magnetons follow the coordinates.
Atoms (fractional coordinates):
Gd  0.7500  0.7500  0.7500  -7.39
Ga  0.2500  0.2500  0.2500  0.04
Sm  0.5000  0.5000  0.5000  -0.17
Pr  0.0000  0.0000  0.0000  -0.17

Calculated values
Magnetic moment, μB/cell: 8.210
DOS(E_F), states/eV per cell: 6.1
Electronic total energy, eV per cell: -27.072
Energy relative to the elements, eV per formula unit: -0.47

[8]
A relaxed structure of TcNi2. Source: the Alexandria database, functional PBE.

a b c (Å): 4.2621 4.2621 2.5494
angles (deg): 90.00 90.00 90.00
Site moments in Bohr magnetons follow the coordinates.
Atoms (fractional coordinates):
Ni  0.0000  0.5000  0.5000  0.07
Ni  0.5000  0.0000  0.5000  0.07
Tc  0.0000  0.0000  0.0000  0.02

Calculated values
Magnetic moment, μB/cell: 0.169
DOS(E_F), states/eV per cell: 5.1
Electronic total energy, eV per cell: -19.764
Energy relative to the elements, eV per formula unit: 2.16

[9]
A relaxed structure of InMo2Rh. Source: the Alexandria database, functional PBE.

a b c (Å): 4.9172 4.9172 5.0686
angles (deg): 81.47 81.47 33.20
Atoms (fractional coordinates):
Mo  0.0034  0.0034  0.9766
Mo  0.7638  0.7638  0.7631
Rh  0.4907  0.4907  0.4914
In  0.2421  0.2421  0.2690

Calculated values
Magnetic moment, μB/cell: 0.000
DOS(E_F), states/eV per cell: 2.4
Electronic total energy, eV per cell: -31.122
Energy relative to the elements, eV per formula unit: 0.63

[10]
A relaxed structure of TaMo6W12. Source: the Alexandria database, functional PBE.

a b c (Å): 7.1434 7.1434 7.1434
angles (deg): 94.03 94.03 94.03
Atoms (fractional coordinates):
W  0.8647  0.5000  0.1353
W  0.4913  0.1881  0.4913
W  0.5087  0.8119  0.5087
W  0.4913  0.4913  0.1881
W  0.5000  0.1353  0.8647
W  0.5000  0.8647  0.1353
W  0.5087  0.5087  0.8119
W  0.1881  0.4913  0.4913
W  0.8119  0.5087  0.5087
W  0.1353  0.8647  0.5000
W  0.8647  0.1353  0.5000
W  0.1353  0.5000  0.8647
Mo  0.7052  0.1794  0.1794
Mo  0.1794  0.7052  0.1794
Mo  0.8206  0.8206  0.2948
Mo  0.8206  0.2948  0.8206
Mo  0.2948  0.8206  0.8206
Mo  0.1794  0.1794  0.7052
Ta  0.0000  0.0000  0.0000

Calculated values
Magnetic moment, μB/cell: 0.000
DOS(E_F), states/eV per cell: 18.2
Electronic total energy, eV per cell: -211.280
Energy relative to the elements, eV per formula unit: 21.00

[11]
A relaxed structure of CsNbPS2. Source: the Alexandria database, functional PBE.

a b c (Å): 4.9667 4.9667 4.9868
angles (deg): 90.00 90.00 90.00
Atoms (fractional coordinates):
Cs  0.5000  0.5000  0.5000
S  0.0000  0.5000  0.0000
S  0.5000  0.0000  0.0000
P  0.0000  0.0000  0.5000
Nb  0.0000  0.0000  0.0000

Calculated values
Magnetic moment, μB/cell: 0.000
DOS(E_F), states/eV per cell: 2.6
Electronic total energy, eV per cell: -27.425

[12]
A relaxed structure of HoTmIn3. Source: the Alexandria database, functional PBE.

a b c (Å): 6.0954 5.5504 8.6150
angles (deg): 90.00 110.72 90.00
Atoms (fractional coordinates):
In  0.6010  0.2500  0.7206
In  0.0000  0.5000  0.0000
In  0.8803  0.7500  0.2794
In  0.0000  0.0000  0.0000
In  0.1197  0.2500  0.7206
In  0.3990  0.7500  0.2794
Ho  0.5717  0.2500  0.1434
Ho  0.4283  0.7500  0.8566
Tm  0.8081  0.7500  0.6163
Tm  0.1919  0.2500  0.3837

Calculated values
Magnetic moment, μB/cell: 0.001
DOS(E_F), states/eV per cell: 9.1
Electronic total energy, eV per cell: -36.829
Energy relative to the elements, eV per formula unit: -1.15

Please write out number 4 again, unchanged.
A relaxed structure of Rb2CrCd. Source: the Alexandria database, functional PBE.

a b c (Å): 10.0775 10.0775 7.9159
angles (deg): 50.47 50.47 90.00
Site moments in Bohr magnetons follow the coordinates.
Atoms (fractional coordinates):
Cd  0.7500  0.2500  0.5000  -0.01
Cd  0.0000  0.0000  0.0000  -0.01
Cr  0.2500  0.7500  0.5000  4.22
Cr  0.5000  0.5000  0.0000  4.22
Rb  0.6235  0.1250  0.2500  0.01
Rb  0.8750  0.8735  0.7500  0.01
Rb  0.3750  0.3765  0.7500  0.01
Rb  0.1265  0.6250  0.2500  0.01

Calculated values
Magnetic moment, μB/cell: 10.059
DOS(E_F), states/eV per cell: 5.0
Electronic total energy, eV per cell: -19.026
Energy relative to the elements, eV per formula unit: 2.96